# 1
## LaPr3Tc (GGA-PBE)

Data for LaPr3Tc after structural relaxation.

Summary:
Formation energy in eV per atom: 0.203
N(E_F) in states/eV per cell: 8.52
Energy above the lowest structure with this stoichiometry in meV/atom: 159

a b c (Å): 5.596 5.596 5.596
angles (deg): 90.00 90.00 90.00
Space group Pm-3m (No. 221)
Asymmetric unit:
1 La 0.000 0.000 0.000 [1 per cell]
2 Pr 0.000 0.500 0.500 [3 per cell]
3 Tc 0.500 0.500 0.500 [1 per cell]

=====

# 2
## PmYTcNi (GGA-PBE)

Data for PmYTcNi after structural relaxation.

Summary:
Formation energy in eV per atom: -0.015
N(E_F) in states/eV per cell: 14.13

a b c (Å): 6.899 6.899 6.899
angles (deg): 90.00 90.00 90.00
Space group F-43m (No. 216)
Asymmetric unit:
1 Pm 0.000 0.000 0.000 [4 per cell]
2 Y 0.000 0.000 0.500 [4 per cell]
3 Tc 0.250 0.250 0.250 [4 per cell]
4 Ni 0.250 0.250 0.750 [4 per cell]

=====

# 3
## LiGdN (GGA-PBE)

Data for LiGdN after structural relaxation.

Summary:
N(E_F) in states/eV per cell: 6.76
Raw formation energy in eV per formula unit: -2.055

a b c (Å): 5.604 5.604 5.604
angles (deg): 90.00 90.00 90.00
Space group F-43m (No. 216)
Asymmetric unit:
1 Li 0.000 0.000 0.000 [4 per cell]
2 Gd 0.000 0.000 0.500 [4 per cell]
3 N 0.250 0.250 0.250 [4 per cell]

=====

# 4
## K3NaPu2Se6 (GGA-PBE)

Data for K3NaPu2Se6 after structural relaxation.

Summary:
N(E_F) in states/eV per cell: 30.99
Raw formation energy in eV per formula unit: -15.783

a b c (Å): 7.411 12.839 7.980
angles (deg): 90.00 108.03 90.00
Space group C2/m (No. 12)
Asymmetric unit:
1 K 0.000 0.000 0.000 [2 per cell]
2 K 0.000 0.342 0.000 [4 per cell]
3 Na 0.000 0.500 0.500 [2 per cell]
4 Pu 0.000 0.167 0.500 [4 per cell]
5 Se 0.211 0.000 0.702 [4 per cell]
6 Se 0.248 0.321 0.705 [8 per cell]

=====

# 5
## Ce3ThAs4 (GGA-PBE)

Data for Ce3ThAs4 after structural relaxation.

Summary:
Formation energy in eV per atom: -1.431
N(E_F) in states/eV per cell: 16.38

a b c (Å): 5.982 5.982 5.982
angles (deg): 90.00 90.00 90.00
Space group Pm-3m (No. 221)
Asymmetric unit:
1 Ce 0.000 0.000 0.500 [3 per cell]
2 Th 0.500 0.500 0.500 [1 per cell]
3 As 0.000 0.000 0.000 [1 per cell]
4 As 0.000 0.500 0.500 [3 per cell]

=====

# 6
## HoMgZn (GGA-PBE)

Data for HoMgZn after structural relaxation.

Summary:
Formation energy in eV per atom: -0.256
N(E_F) in states/eV per cell: 3.83

a b c (Å): 5.0141 5.0141 6.1071
angles (deg): 90.00 90.00 120.00
Space group P6_3/mmc (No. 194)
Asymmetric unit:
1 Ho 0.3333 0.6667 0.2500 [2 per cell]
2 Mg 0.0000 0.0000 0.0000 [2 per cell]
3 Zn 0.3333 0.6667 0.7500 [2 per cell]

=====

# 7
## Rb6I2Br2O (GGA-PBE)

Data for Rb6I2Br2O after structural relaxation.

Summary:
Raw formation energy in eV per formula unit: -15.646

a b c (Å): 8.698 14.135 8.807
angles (deg): 90.00 109.20 90.00
Space group C2/m (No. 12)
Asymmetric unit:
1 Rb 0.192 0.000 0.306 [4 per cell]
2 Rb 0.203 0.148 0.696 [8 per cell]
3 I 0.000 0.182 0.000 [4 per cell]
4 Br 0.000 0.343 0.500 [4 per cell]
5 O 0.000 0.000 0.500 [2 per cell]

=====

# 8
## Sm3Ge3Pt2 (GGA-PBE)

Data for Sm3Ge3Pt2 after structural relaxation.

Summary:
Formation energy in eV per atom: -1.046
N(E_F) in states/eV per cell: 10.72

a b c (Å): 4.402 10.689 14.722
angles (deg): 90.00 90.00 90.00
Space group Cmcm (No. 63)
Asymmetric unit:
1 Sm 0.000 0.094 0.109 [8 per cell]
2 Sm 0.000 0.370 0.250 [4 per cell]
3 Ge 0.000 0.336 0.750 [4 per cell]
4 Ge 0.000 0.382 0.034 [8 per cell]
5 Pt 0.000 0.192 0.605 [8 per cell]

=====

# 9
## YErGaIr (GGA-PBE)

Data for YErGaIr after structural relaxation.

Summary:
Formation energy in eV per atom: -0.698
N(E_F) in states/eV per cell: 8.99
Energy above the lowest structure with this stoichiometry in meV/atom: 62

a b c (Å): 6.985 6.985 6.985
angles (deg): 90.00 90.00 90.00
Space group F-43m (No. 216)
Asymmetric unit:
1 Y 0.000 0.000 0.000 [4 per cell]
2 Er 0.000 0.000 0.500 [4 per cell]
3 Ga 0.250 0.250 0.250 [4 per cell]
4 Ir 0.250 0.250 0.750 [4 per cell]

=====

# 10
## ScTlNO2 (GGA-PBE)

Data for ScTlNO2 after structural relaxation.

Summary:
N(E_F) in states/eV per cell: 1.31
Raw formation energy in eV per formula unit: 0.074

a b c (Å): 4.158 4.158 4.239
angles (deg): 90.00 90.00 90.00
Space group P4/mmm (No. 123)
Asymmetric unit:
1 Sc 0.000 0.000 0.000 [1 per cell]
2 Tl 0.500 0.500 0.500 [1 per cell]
3 N 0.500 0.500 0.000 [1 per cell]
4 O 0.000 0.500 0.500 [2 per cell]

=====

# 11
## GaHgBrCl4 (GGA-PBE)

Data for GaHgBrCl4 after structural relaxation.

Summary:
N(E_F) in states/eV per cell: 0.00
Raw formation energy in eV per formula unit: -5.856

a b c (Å): 10.366 11.152 10.680
angles (deg): 90.00 111.16 90.00
Space group C2/m (No. 12)
Asymmetric unit:
1 Ga 0.128 0.000 0.248 [4 per cell]
2 Hg 0.201 0.500 0.009 [4 per cell]
3 Br 0.019 0.500 0.189 [4 per cell]
4 Cl 0.107 0.000 0.775 [4 per cell]
5 Cl 0.163 0.159 0.144 [8 per cell]
6 Cl 0.222 0.000 0.462 [4 per cell]

=====

# 12
## Pr3GeSeBr (GGA-PBE)

Data for Pr3GeSeBr after structural relaxation.

Summary:
N(E_F) in states/eV per cell: 3.94
Raw formation energy in eV per formula unit: -7.298

a b c (Å): 8.722 4.245 10.926
angles (deg): 90.00 90.48 90.00
Space group P2_1/m (No. 11)
Asymmetric unit:
1 Pr 0.125 0.250 0.136 [2 per cell]
2 Pr 0.144 0.250 0.595 [2 per cell]
3 Pr 0.368 0.750 0.870 [2 per cell]
4 Ge 0.122 0.250 0.859 [2 per cell]
5 Se 0.378 0.750 0.144 [2 per cell]
6 Br 0.383 0.750 0.591 [2 per cell]